1:
Material: Co2ReAg
Method: DFT, GGA-PBE
State: relaxed

POSCAR file:
```
Co2ReAg
1.0
-3.3266 3.3266 2.6909
3.3266 -3.3266 2.6909
3.3266 3.3266 -2.6909
Co Re Ag
4 2 2
Direct
0.0865 0.6250 0.9615
0.3750 0.3365 0.4615
0.6635 0.1250 0.0385
0.8750 0.9135 0.5385
0.0000 0.0000 0.0000
0.7500 0.2500 0.5000
0.2500 0.7500 0.5000
0.5000 0.5000 0.0000
```

---

2:
Material: Co2ReAg
Method: DFT, GGA-PBE
State: relaxed

POSCAR file:
```
Co2ReAg
1.0
2.6926 0.0000 0.0000
0.0000 3.4979 0.0000
0.0000 0.0000 5.7007
Co Re Ag
2 1 1
Direct
0.0000 0.0000 0.2180
0.0000 0.0000 0.7820
0.5000 0.5000 0.0000
0.5000 0.5000 0.5000
```

---

3:
Material: Co2ReAg
Method: DFT, GGA-PBE
State: relaxed

POSCAR file:
```
Co2ReAg
1.0
2.6410 0.0000 0.0000
0.0000 4.0877 0.0000
-1.3141 0.0000 4.9697
Co Re Ag
2 1 1
Direct
0.0000 0.0000 0.0000
0.1282 0.5000 0.2609
0.7223 0.0000 0.4486
0.3896 0.5000 0.7788
```

---

4:
Material: Co2ReAg
Method: DFT, GGA-PBE
State: relaxed

POSCAR file:
```
Co2ReAg
1.0
2.7591 -3.6507 0.0000
2.7591 3.6507 0.0000
0.0000 0.0000 2.6542
Co Re Ag
2 1 1
Direct
0.0000 0.5000 0.0000
0.5000 0.0000 0.0000
0.0000 0.0000 0.5000
0.5000 0.5000 0.5000
```

---

2 has the most favorable energy; the next structure is 9.4 kJ/mol of atoms above.

---

1:
Material: Co2ReAg2
Method: DFT, GGA-PBE
State: relaxed

POSCAR file:
```
Co2ReAg2
1.0
5.9733 0.0000 0.0000
0.0000 5.9733 0.0000
0.0000 0.0000 4.2108
Co Re Ag
4 2 4
Direct
0.1309 0.3691 0.0000
0.3691 0.8691 0.0000
0.6309 0.1309 0.0000
0.8691 0.6309 0.0000
0.0000 0.0000 0.0000
0.5000 0.5000 0.0000
0.1736 0.6736 0.5000
0.3264 0.1736 0.5000
0.6736 0.8264 0.5000
0.8264 0.3264 0.5000
```

---

2:
Material: Co2ReAg2
Method: DFT, GGA-PBE
State: relaxed

POSCAR file:
```
Co2ReAg2
1.0
-1.8038 1.8038 5.9988
1.8038 -1.8038 5.9988
1.8038 1.8038 -5.9988
Co Re Ag
2 1 2
Direct
0.0870 0.0870 0.0000
0.9130 0.9130 0.0000
0.5000 0.5000 0.0000
0.2500 0.7500 0.5000
0.7500 0.2500 0.5000
```

---

1 has the most favorable energy; the next structure is 29.9 kJ/mol of atoms above.

---

1:
Material: CoAg2Rh
Method: DFT, GGA-PBE
State: relaxed

POSCAR file:
```
CoAg2Rh
1.0
2.8145 0.0000 0.0000
0.0000 2.8145 0.0000
0.0000 0.0000 7.7584
Co Ag Rh
1 2 1
Direct
0.0000 0.0000 0.0000
0.0000 0.0000 0.4685
0.5000 0.5000 0.7499
0.5000 0.5000 0.1959
```

---

2:
Material: CoAg2Rh
Method: DFT, GGA-PBE
State: relaxed

POSCAR file:
```
CoAg2Rh
1.0
-1.4427 2.2608 4.7223
1.4427 -2.2608 4.7223
1.4427 2.2608 -4.7223
Co Ag Rh
1 2 1
Direct
0.0000 0.0000 0.0000
0.2379 0.7379 0.5000
0.7621 0.2621 0.5000
0.5000 0.5000 0.0000
```

---

1 has the most favorable energy; the next structure is 18.4 kJ/mol of atoms above.

---

1:
Material: CoAg2Rh
Method: DFT, GGA-PBE
State: relaxed

POSCAR file:
```
CoAg2Rh
1.0
0.0000 3.1369 3.1369
3.1369 0.0000 3.1369
3.1369 3.1369 0.0000
Co Ag Rh
1 2 1
Direct
0.0000 0.0000 0.0000
0.2500 0.2500 0.2500
0.7500 0.7500 0.7500
0.5000 0.5000 0.5000
```

---

2:
Material: CoAg2Rh
Method: DFT, GGA-PBE
State: relaxed

POSCAR file:
```
CoAg2Rh
1.0
1.3903 0.8027 9.1717
-1.3903 0.8027 9.1717
0.0000 -1.6054 9.1717
Co Ag Rh
1 2 1
Direct
0.0000 0.0000 0.0000
0.2508 0.2508 0.2508
0.4925 0.4925 0.4925
0.7376 0.7376 0.7376
```

---

3:
Material: CoAg2Rh
Method: DFT, GGA-PBE
State: relaxed

POSCAR file:
```
CoAg2Rh
1.0
4.7560 -1.3977 0.0000
4.7560 1.3977 0.0000
-0.9137 0.0000 4.6024
Co Ag Rh
1 2 1
Direct
0.0000 0.0000 0.0000
0.2538 0.2538 0.7535
0.7462 0.7462 0.2465
0.5000 0.5000 0.5000
```

---

2 has the most favorable energy; the next structure is 13.3 kJ/mol of atoms above.